one) ## KBa2Ru (PBE-GGA)

Data for crystalline KBa2Ru at its relaxed geometry.

```
KBa2Ru
1.0
-2.564 2.564 5.295
2.564 -2.564 5.295
2.564 2.564 -5.295
K Ba Ru
1 2 1
Cartesian
0.000 0.000 0.000
0.000 0.000 5.295
0.000 2.564 2.647
2.564 0.000 2.647
```

Output
**Space group**: No. 119
**ρ**: 4.95 g/cm3

=====

two) ## KBa2Ru (PBE-GGA)

Data for crystalline KBa2Ru at its relaxed geometry.

```
KBa2Ru
1.0
0.000 4.075 4.075
4.075 0.000 4.075
4.075 4.075 0.000
K Ba Ru
1 2 1
Cartesian
0.000 0.000 0.000
2.037 2.037 2.037
6.112 6.112 6.112
4.075 4.075 4.075
```

Output
**Space group**: No. 225
**ρ**: 5.09 g/cm3

=====

three) ## KBa2Ru (PBE-GGA)

Data for crystalline KBa2Ru at its relaxed geometry.

```
KBa2Ru
1.0
4.299 0.000 0.000
0.000 4.299 0.000
0.000 0.000 10.789
K Ba Ru
1 2 1
Cartesian
0.000 0.000 0.000
0.000 0.000 4.133
2.149 2.149 7.258
2.149 2.149 4.704
```

Output
**Space group**: No. 99
**ρ**: 3.45 g/cm3

=====

It is one) that is the least stable of them.

=====

one) ## KBa2Ru (PBE-GGA)

Data for crystalline KBa2Ru at its relaxed geometry.

```
KBa2Ru
1.0
0.000 4.082 4.082
4.082 0.000 4.082
4.082 4.082 0.000
K Ba Ru
1 2 1
Cartesian
0.000 0.000 0.000
2.041 2.041 2.041
4.082 4.082 4.082
6.122 6.122 6.122
```

Output
**Space group**: No. 216
**ρ**: 5.07 g/cm3

=====

two) ## KBa2Ru (PBE-GGA)

Data for crystalline KBa2Ru at its relaxed geometry.

```
KBa2Ru
1.0
3.962 -3.965 0.000
3.962 3.965 0.000
-0.007 0.000 4.649
K Ba Ru
1 2 1
Cartesian
0.000 0.000 0.000
1.978 1.982 2.325
1.978 -1.982 2.325
3.962 0.000 0.000
```

Output
**Space group**: No. 12
**ρ**: 4.72 g/cm3

=====

three) ## KBa2Ru (PBE-GGA)

Data for crystalline KBa2Ru at its relaxed geometry.

```
KBa2Ru
1.0
5.505 0.000 0.000
0.000 4.780 0.000
-2.749 0.000 7.712
K Ba Ru
1 2 1
Cartesian
0.000 0.000 0.000
0.005 0.000 4.275
2.750 2.390 1.959
0.018 2.390 2.755
```

Output
**Space group**: No. 6
**ρ**: 3.39 g/cm3

=====

It is one) that is the least stable of them.

=====

one) ## KBa3S (PBE-GGA)

Data for crystalline KBa3S at its relaxed geometry.

```
KBa3S
1.0
6.434 0.000 0.000
0.000 6.434 0.000
0.000 0.000 6.434
K Ba S
1 3 1
Cartesian
0.000 0.000 0.000
0.000 3.217 3.217
3.217 0.000 3.217
3.217 3.217 0.000
3.217 3.217 3.217
```

Output
**Space group**: No. 221
**ρ**: 3.01 g/cm3

=====

two) ## KBa3S (PBE-GGA)

Data for crystalline KBa3S at its relaxed geometry.

```
KBa3S
1.0
6.688 0.000 0.000
0.000 6.688 0.000
0.000 0.000 6.688
K Ba S
1 3 1
Cartesian
0.000 0.000 0.000
0.000 0.000 3.344
0.000 3.344 0.000
3.344 0.000 0.000
3.344 3.344 3.344
```

Output
**Space group**: No. 221
**ρ**: 2.68 g/cm3

=====

It is two) that is the least stable of them.

=====

one) ## KBaSb3 (PBE-GGA)

Data for crystalline KBaSb3 at its relaxed geometry.

```
KBaSb3
1.0
6.362 0.000 0.000
0.000 6.362 0.000
0.000 0.000 6.362
K Ba Sb
1 1 3
Cartesian
0.000 0.000 0.000
3.181 3.181 3.181
0.000 3.181 3.181
3.181 0.000 3.181
3.181 3.181 0.000
```

Output
**Space group**: No. 221
**ρ**: 3.49 g/cm3

=====

two) ## KBaSb3 (PBE-GGA)

Data for crystalline KBaSb3 at its relaxed geometry.

```
KBaSb3
1.0
5.880 0.000 0.000
0.000 5.880 0.000
0.000 0.000 5.880
K Ba Sb
1 1 3
Cartesian
0.000 0.000 0.000
2.940 2.940 2.940
0.000 0.000 2.940
0.000 2.940 0.000
2.940 0.000 0.000
```

Output
**Space group**: No. 221
**ρ**: 4.43 g/cm3

=====

It is one) that is the least stable of them.

=====

one) ## KBa2Sc (PBE-GGA)

Data for crystalline KBa2Sc at its relaxed geometry.

```
KBa2Sc
1.0
6.507 -2.017 0.000
6.507 2.017 0.000
-1.128 0.000 7.667
K Ba Sc
1 2 1
Cartesian
0.000 0.000 0.000
2.271 0.000 5.543
9.614 0.000 2.124
5.943 0.000 3.833
```

Output
**Space group**: No. 12
**ρ**: 2.96 g/cm3

=====

two) ## KBa2Sc (PBE-GGA)

Data for crystalline KBa2Sc at its relaxed geometry.

```
KBa2Sc
1.0
4.739 0.000 0.000
0.000 6.279 0.000
0.000 0.000 6.673
K Ba Sc
1 2 1
Cartesian
0.000 0.000 0.000
0.000 3.139 3.337
2.369 3.139 0.000
2.369 0.000 3.337
```

Output
**Space group**: No. 47
**ρ**: 3.00 g/cm3

=====

It is two) that is the least stable of them.

=====

one) ## KBa2Sc (PBE-GGA)

Data for crystalline KBa2Sc at its relaxed geometry.

```
KBa2Sc
1.0
-2.121 3.400 7.061
2.121 -3.400 7.061
2.121 3.400 -7.061
K Ba Sc
1 2 1
Cartesian
0.000 0.000 0.000
0.000 0.000 6.227
0.000 3.400 3.185
2.121 0.000 3.188
```

Output
**Space group**: No. 44
**ρ**: 2.93 g/cm3

=====

two) ## KBa2Sc (PBE-GGA)

Data for crystalline KBa2Sc at its relaxed geometry.

```
KBa2Sc
1.0
0.000 4.617 4.617
4.617 0.000 4.617
4.617 4.617 0.000
K Ba Sc
1 2 1
Cartesian
0.000 0.000 0.000
4.617 4.617 4.617
6.926 6.926 6.926
2.309 2.309 2.309
```

Output
**Space group**: No. 216
**ρ**: 3.03 g/cm3

=====

three) ## KBa2Sc (PBE-GGA)

Data for crystalline KBa2Sc at its relaxed geometry.

```
KBa2Sc
1.0
-2.835 2.835 6.244
2.835 -2.835 6.244
2.835 2.835 -6.244
K Ba Sc
1 2 1
Cartesian
0.000 0.000 0.000
0.000 0.000 6.244
0.000 2.835 3.122
2.835 0.000 3.122
```

Output
**Space group**: No. 119
**ρ**: 2.97 g/cm3

=====

four) ## KBa2Sc (PBE-GGA)

Data for crystalline KBa2Sc at its relaxed geometry.

```
KBa2Sc
1.0
4.271 0.000 0.000
0.000 4.271 0.000
0.000 0.000 11.549
K Ba Sc
1 2 1
Cartesian
0.000 0.000 0.000
2.135 2.135 3.546
2.135 2.135 8.003
0.000 0.000 5.774
```

Output
**Space group**: No. 123
**ρ**: 2.83 g/cm3

=====

It is two) that is the least stable of them.

=====

one) ## KBa2Sc (PBE-GGA)

Data for crystalline KBa2Sc at its relaxed geometry.

```
KBa2Sc
1.0
-2.320 3.413 6.330
2.320 -3.413 6.330
2.320 3.413 -6.330
K Ba Sc
1 2 1
Cartesian
0.000 0.000 0.000
2.320 0.000 3.395
0.000 3.413 2.935
0.000 0.000 6.330
```

Output
**Space group**: No. 71
**ρ**: 2.97 g/cm3

=====

two) ## KBa2Sc (PBE-GGA)

Data for crystalline KBa2Sc at its relaxed geometry.

```
KBa2Sc
1.0
-2.746 2.746 13.568
2.746 -2.746 13.568
2.746 2.746 -13.568
K Ba Sc
2 4 2
Cartesian
0.000 0.000 0.000
0.000 2.746 6.784
1.373 -1.301 10.176
1.445 1.373 3.392
1.373 4.048 -3.392
1.301 1.373 16.960
2.746 0.000 6.784
0.000 0.000 13.568
```

Output
**Space group**: No. 122
**ρ**: 2.91 g/cm3

=====

It is two) that is the least stable of them.

=====

one) ## KBa2Sc (PBE-GGA)

Data for crystalline KBa2Sc at its relaxed geometry.

```
KBa2Sc
1.0
7.389 -2.102 0.000
7.389 2.102 0.000
-2.260 0.000 6.517
K Ba Sc
1 2 1
Cartesian
0.000 0.000 0.000
6.937 0.000 3.583
10.878 0.000 1.408
2.465 0.000 4.625
```

Output
**Space group**: No. 8
**ρ**: 2.94 g/cm3

=====

two) ## KBa2Sc (PBE-GGA)

Data for crystalline KBa2Sc at its relaxed geometry.

```
KBa2Sc
1.0
2.063 1.191 13.572
-2.063 1.191 13.572
0.000 -2.382 13.572
K Ba Sc
1 2 1
Cartesian
0.000 0.000 0.000
0.000 0.000 9.614
0.000 0.000 31.102
0.000 0.000 20.358
```

Output
**Space group**: No. 166
**ρ**: 2.98 g/cm3

=====

It is one) that is the least stable of them.